Eu2HF | PBE | relaxed

Summary:
- Raw total energy: -31.47 eV/cell
- Symmetry: R-3m
- Total magnetic moment: 15.82 Bohr magnetons per cell

Geometry as POSCAR:
```
Eu2HF
1.0
1.876 1.083 6.216
-1.876 1.083 6.216
0.000 -2.167 6.216
Eu H F
2 1 1
direct
0.245 0.245 0.245 Eu
0.755 0.755 0.755 Eu
0.500 0.500 0.500 H
0.000 0.000 0.000 F
```



EuHF | PBE | relaxed

Summary:
- Raw total energy: -21.41 eV/cell
- Symmetry: P3m1
- Energy above the most stable polymorph in this dataset: 193 meV/atom
- Total magnetic moment: 7.00 Bohr magnetons per cell

Geometry as POSCAR:
```
EuHF
1.0
3.889 0.000 0.000
-1.945 3.368 0.000
0.000 0.000 4.370
Eu H F
1 1 1
direct
0.000 0.000 0.000 Eu
0.667 0.333 0.230 H
0.333 0.667 0.797 F
```



EuHF2 | PBE | relaxed

Summary:
- Raw total energy: -21.40 eV/cell
- Symmetry: R-3m
- Total magnetic moment: 7.78 Bohr magnetons per cell

Geometry as POSCAR:
```
EuHF2
1.0
1.784 1.030 6.252
-1.784 1.030 6.252
0.000 -2.061 6.252
Eu H F
1 1 2
direct
0.000 0.000 0.000 Eu
0.500 0.500 0.500 H
0.115 0.115 0.115 F
0.885 0.885 0.885 F
```



EuHgF2 | PBE | relaxed

Summary:
- Formation energy without anion corrections: -2.492 eV per atom
- Raw total energy: -24.29 eV/cell
- Symmetry: P4/mmm
- Energy above the most stable polymorph in this dataset: 209 meV/atom
- Total magnetic moment: 7.02 Bohr magnetons per cell

Geometry as POSCAR:
```
EuHgF2
1.0
3.229 0.000 0.000
0.000 3.229 0.000
0.000 0.000 8.473
Eu Hg F
1 1 2
direct
0.000 0.000 0.000 Eu
0.000 0.000 0.500 Hg
0.500 0.500 0.143 F
0.500 0.500 0.857 F
```



EuHgF2 | PBE | relaxed

Summary:
- Formation energy without anion corrections: -2.700 eV per atom
- Raw total energy: -25.12 eV/cell
- Symmetry: R-3m
- Energy above the most stable polymorph in this dataset: 0 meV/atom
- Total magnetic moment: 6.96 Bohr magnetons per cell

Geometry as POSCAR:
```
EuHgF2
1.0
1.954 1.128 8.699
-1.954 1.128 8.699
0.000 -2.256 8.699
Eu Hg F
1 1 2
direct
0.000 0.000 0.000 Eu
0.500 0.500 0.500 Hg
0.369 0.369 0.369 F
0.631 0.631 0.631 F
```



Eu2HgF | PBE | relaxed

Summary:
- Formation energy without anion corrections: -1.443 eV per atom
- Raw total energy: -28.50 eV/cell
- Symmetry: R-3m
- Energy above the most stable polymorph in this dataset: 0 meV/atom
- Total magnetic moment: 15.10 Bohr magnetons per cell

Geometry as POSCAR:
```
Eu2HgF
1.0
2.027 1.170 7.472
-2.027 1.170 7.472
0.000 -2.341 7.472
Eu Hg F
2 1 1
direct
0.234 0.234 0.234 Eu
0.766 0.766 0.766 Eu
0.000 0.000 0.000 Hg
0.500 0.500 0.500 F
```



Eu2HgF | PBE | relaxed

Summary:
- Formation energy without anion corrections: -1.262 eV per atom
- Raw total energy: -27.77 eV/cell
- Symmetry: P4/mmm
- Energy above the most stable polymorph in this dataset: 181 meV/atom
- Total magnetic moment: 14.87 Bohr magnetons per cell

Geometry as POSCAR:
```
Eu2HgF
1.0
3.577 0.000 0.000
0.000 3.577 0.000
0.000 0.000 7.937
Eu Hg F
2 1 1
direct
0.000 0.000 0.234 Eu
0.000 0.000 0.766 Eu
0.500 0.500 0.500 Hg
0.500 0.500 0.000 F
```



Eu3HgF | PBE | relaxed

Summary:
- Formation energy without anion corrections: -1.187 eV per atom
- Raw total energy: -38.93 eV/cell
- Symmetry: Pm-3m
- Total magnetic moment: 22.56 Bohr magnetons per cell

Geometry as POSCAR:
```
Eu3HgF
1.0
5.166 0.000 0.000
0.000 5.166 0.000
0.000 0.000 5.166
Eu Hg F
3 1 1
direct
0.000 0.000 0.500 Eu
0.000 0.500 0.000 Eu
0.500 0.000 0.000 Eu
0.500 0.500 0.500 Hg
0.000 0.000 0.000 F
```



Eu3HoF | PBE | relaxed

Summary:
- Formation energy without anion corrections: -0.966 eV per atom
- Raw total energy: -42.10 eV/cell
- Symmetry: Pm-3m
- Total magnetic moment: 22.73 Bohr magnetons per cell

Geometry as POSCAR:
```
Eu3HoF
1.0
5.339 0.000 0.000
0.000 5.339 0.000
0.000 0.000 5.339
Eu Ho F
3 1 1
direct
0.000 0.000 0.500 Eu
0.000 0.500 0.000 Eu
0.500 0.000 0.000 Eu
0.500 0.500 0.500 Ho
0.000 0.000 0.000 F
```



EuHo2F | PBE | relaxed

Summary:
- Formation energy without anion corrections: -0.892 eV per atom
- Raw total energy: -24.87 eV/cell
- Symmetry: R-3m
- Total magnetic moment: 7.72 Bohr magnetons per cell

Geometry as POSCAR:
```
EuHo2F
1.0
1.834 1.059 9.409
-1.834 1.059 9.409
0.000 -2.117 9.409
Eu Ho F
1 2 1
direct
0.000 0.000 0.000 Eu
0.119 0.119 0.119 Ho
0.881 0.881 0.881 Ho
0.500 0.500 0.500 F
```



EuIF | PBE | relaxed

Summary:
- Formation energy without anion corrections: -2.680 eV per atom
- Raw total energy: -21.74 eV/cell
- Symmetry: P-6m2
- Total magnetic moment: 7.00 Bohr magnetons per cell

Geometry as POSCAR:
```
EuIF
1.0
4.252 0.000 0.000
-2.126 3.682 0.000
0.000 0.000 5.008
Eu I F
1 1 1
direct
0.000 0.000 0.000 Eu
0.333 0.667 0.500 I
0.667 0.333 0.000 F
```



EuIF | PBE | relaxed

Summary:
- Formation energy without anion corrections: -2.247 eV per atom
- Raw total energy: -20.44 eV/cell
- Symmetry: F-43m
- Total magnetic moment: 7.00 Bohr magnetons per cell

Geometry as POSCAR:
```
EuIF
1.0
0.000 3.601 3.601
3.601 0.000 3.601
3.601 3.601 0.000
Eu I F
1 1 1
direct
0.000 0.000 0.000 Eu
0.250 0.250 0.250 I
0.750 0.750 0.750 F
```



EuIF | PBE | relaxed

Summary:
- Formation energy without anion corrections: -2.337 eV per atom
- Raw total energy: -20.71 eV/cell
- Symmetry: I4mm
- Total magnetic moment: 7.00 Bohr magnetons per cell

Geometry as POSCAR:
```
EuIF
1.0
-1.859 1.859 5.648
1.859 -1.859 5.648
1.859 1.859 -5.648
Eu I F
1 1 1
direct
0.000 0.000 0.000 Eu
0.295 0.295 0.000 I
0.558 0.558 0.000 F
```



EuInF2 | PBE | relaxed

Summary:
- Formation energy without anion corrections: -2.069 eV per atom
- Raw total energy: -25.03 eV/cell
- Symmetry: R-3m
- Total magnetic moment: 7.51 Bohr magnetons per cell

Geometry as POSCAR:
```
EuInF2
1.0
2.394 1.382 4.189
-2.394 1.382 4.189
0.000 -2.764 4.189
Eu In F
1 1 2
direct
0.000 0.000 0.000 Eu
0.500 0.500 0.500 In
0.190 0.190 0.190 F
0.810 0.810 0.810 F
```



Eu3In5F12 | PBE | relaxed

Summary:
- Formation energy without anion corrections: -2.566 eV per atom
- Raw total energy: -473.18 eV/cell
- Symmetry: Ia-3d
- Total magnetic moment: 79.91 Bohr magnetons per cell

Geometry as POSCAR:
```
Eu3In5F12
1.0
-7.359 7.359 7.359
7.359 -7.359 7.359
7.359 7.359 -7.359
Eu In F
12 20 48
direct
0.125 0.250 0.375 Eu
0.125 0.375 0.750 Eu
0.250 0.375 0.125 Eu
0.250 0.875 0.625 Eu
0.375 0.125 0.250 Eu
0.375 0.750 0.125 Eu
0.625 0.250 0.875 Eu
0.625 0.875 0.750 Eu
0.750 0.125 0.375 Eu
0.750 0.625 0.875 Eu
0.875 0.625 0.250 Eu
0.875 0.750 0.625 Eu
0.000 0.000 0.000 In
0.000 0.000 0.500 In
0.000 0.500 0.000 In
0.000 0.500 0.500 In
0.125 0.750 0.875 In
0.125 0.875 0.250 In
0.250 0.125 0.875 In
0.250 0.625 0.375 In
0.375 0.250 0.625 In
0.375 0.625 0.750 In
0.500 0.000 0.000 In
0.500 0.000 0.500 In
0.500 0.500 0.000 In
0.500 0.500 0.500 In
0.625 0.375 0.250 In
0.625 0.750 0.375 In
0.750 0.375 0.625 In
0.750 0.875 0.125 In
0.875 0.125 0.750 In
0.875 0.250 0.125 In
0.068 0.639 0.397 F
0.068 0.929 0.671 F
0.071 0.242 0.139 F
0.071 0.329 0.932 F
0.103 0.742 0.671 F
0.103 0.861 0.432 F
0.139 0.071 0.242 F
0.139 0.568 0.897 F
0.171 0.242 0.603 F
0.171 0.429 0.568 F
0.242 0.139 0.071 F
0.242 0.603 0.171 F
0.258 0.329 0.897 F
0.258 0.429 0.361 F
0.329 0.897 0.258 F
0.329 0.932 0.071 F
0.361 0.258 0.429 F
0.361 0.603 0.932 F
0.397 0.068 0.639 F
0.397 0.829 0.758 F
0.429 0.361 0.258 F
0.429 0.568 0.171 F
0.432 0.103 0.861 F
0.432 0.829 0.571 F
0.568 0.171 0.429 F
0.568 0.897 0.139 F
0.571 0.432 0.829 F
0.571 0.639 0.742 F
0.603 0.171 0.242 F
0.603 0.932 0.361 F
0.639 0.397 0.068 F
0.639 0.742 0.571 F
0.671 0.068 0.929 F
0.671 0.103 0.742 F
0.742 0.571 0.639 F
0.742 0.671 0.103 F
0.758 0.397 0.829 F
0.758 0.861 0.929 F
0.829 0.571 0.432 F
0.829 0.758 0.397 F
0.861 0.432 0.103 F
0.861 0.929 0.758 F
0.897 0.139 0.568 F
0.897 0.258 0.329 F
0.929 0.671 0.068 F
0.929 0.758 0.861 F
0.932 0.071 0.329 F
0.932 0.361 0.603 F
```



Eu2IrF | PBE | relaxed

Summary:
- Formation energy without anion corrections: -1.369 eV per atom
- Raw total energy: -36.76 eV/cell
- Symmetry: P4/mmm
- Energy above the most stable polymorph in this dataset: 24 meV/atom
- Total magnetic moment: 14.12 Bohr magnetons per cell

Geometry as POSCAR:
```
Eu2IrF
1.0
3.343 0.000 0.000
0.000 3.343 0.000
0.000 0.000 7.399
Eu Ir F
2 1 1
direct
0.000 0.000 0.250 Eu
0.000 0.000 0.750 Eu
0.500 0.500 0.000 Ir
0.500 0.500 0.500 F
```



Eu2IrF | PBE | relaxed

Summary:
- Formation energy without anion corrections: -1.393 eV per atom
- Raw total energy: -36.85 eV/cell
- Symmetry: R-3m
- Energy above the most stable polymorph in this dataset: 0 meV/atom
- Total magnetic moment: 13.82 Bohr magnetons per cell

Geometry as POSCAR:
```
Eu2IrF
1.0
2.004 1.157 6.653
-2.004 1.157 6.653
0.000 -2.314 6.653
Eu Ir F
2 1 1
direct
0.249 0.249 0.249 Eu
0.751 0.751 0.751 Eu
0.000 0.000 0.000 Ir
0.500 0.500 0.500 F
```



KEuF4 | PBE | relaxed

Summary:
- Formation energy without anion corrections: -3.284 eV per atom
- Raw total energy: -154.25 eV/cell
- Symmetry: Pnma
- Total magnetic moment: 24.00 Bohr magnetons per cell

Geometry as POSCAR:
```
KEuF4
1.0
6.282 0.000 0.000
0.000 3.717 0.000
0.000 0.000 15.643
K Eu F
4 4 16
direct
0.224 0.250 0.200 K
0.276 0.750 0.700 K
0.724 0.250 0.300 K
0.776 0.750 0.800 K
0.249 0.750 0.440 Eu
0.251 0.250 0.940 Eu
0.749 0.750 0.060 Eu
0.751 0.250 0.560 Eu
0.002 0.250 0.058 F
0.091 0.250 0.808 F
0.107 0.250 0.366 F
0.134 0.250 0.538 F
0.366 0.750 0.038 F
0.393 0.750 0.866 F
0.409 0.750 0.308 F
0.498 0.750 0.558 F
0.502 0.250 0.442 F
0.591 0.250 0.692 F
0.607 0.250 0.134 F
0.634 0.250 0.962 F
0.866 0.750 0.462 F
0.893 0.750 0.634 F
0.909 0.750 0.192 F
0.998 0.750 0.942 F
```



KEuF2 | PBE | relaxed

Summary:
- Formation energy without anion corrections: -2.706 eV per atom
- Raw total energy: -25.94 eV/cell
- Symmetry: R-3m
- Energy above the most stable polymorph in this dataset: 0 meV/atom
- Total magnetic moment: 7.07 Bohr magnetons per cell

Geometry as POSCAR:
```
KEuF2
1.0
2.047 1.182 7.284
-2.047 1.182 7.284
0.000 -2.364 7.284
K Eu F
1 1 2
direct
0.000 0.000 0.000 K
0.500 0.500 0.500 Eu
0.126 0.126 0.126 F
0.874 0.874 0.874 F
```



KEuF2 | PBE | relaxed

Summary:
- Formation energy without anion corrections: -2.305 eV per atom
- Raw total energy: -24.33 eV/cell
- Symmetry: P4/mmm
- Energy above the most stable polymorph in this dataset: 402 meV/atom
- Total magnetic moment: 7.84 Bohr magnetons per cell

Geometry as POSCAR:
```
KEuF2
1.0
3.246 0.000 0.000
0.000 3.246 0.000
0.000 0.000 7.112
K Eu F
1 1 2
direct
0.000 0.000 0.000 K
0.000 0.000 0.500 Eu
0.500 0.500 0.231 F
0.500 0.500 0.769 F
```